{
  "formula": "Al2SiS6",
  "functional": "PBE",
  "state": "optimized geometry",
  "rho_kg_m3": 2765,
  "volume_a3_per_atom": 18.3,
  "raw_formation_energy_ev_per_atom": -0.49,
  "sg": "No. 136",
  "lattice_angstrom": [[5.603, 0.000, 0.000], [0.000, 5.603, 0.000], [0.000, 0.000, 10.499]],
  "species": ["S", "S", "S", "S", "S", "S", "S", "S", "S", "S", "S", "S", "Al", "Al", "Al", "Al", "Si", "Si"],
  "frac_coords": [[0.309, 0.309, 0.662], [0.809, 0.191, 0.838], [0.309, 0.309, 0.338], [0.191, 0.809, 0.162], [0.799, 0.201, 0.500], [0.809, 0.191, 0.162], [0.691, 0.691, 0.662], [0.691, 0.691, 0.338], [0.201, 0.799, 0.500], [0.701, 0.701, 0.000], [0.299, 0.299, 0.000], [0.191, 0.809, 0.838], [0.000, 0.000, 0.333], [0.500, 0.500, 0.833], [0.000, 0.000, 0.667], [0.500, 0.500, 0.167], [0.500, 0.500, 0.500], [0.000, 0.000, 0.000]]
}


{
  "formula": "AlSiS3",
  "functional": "PBE",
  "state": "optimized geometry",
  "rho_kg_m3": 2087,
  "volume_a3_per_atom": 24.1,
  "raw_formation_energy_ev_per_atom": -0.69,
  "sg": "No. 12",
  "lattice_angstrom": [[-2.977, 1.411, 0.875], [0.027, -6.290, 3.592], [4.707, 5.577, 7.021]],
  "species": ["S", "S", "S", "S", "S", "S", "Al", "Al", "Si", "Si"],
  "frac_coords": [[0.627, 0.254, 0.387], [0.070, 0.140, 0.788], [0.830, 0.661, 0.903], [0.170, 0.339, 0.097], [0.373, 0.746, 0.613], [0.930, 0.860, 0.212], [0.580, 0.161, 0.960], [0.420, 0.839, 0.040], [0.085, 0.169, 0.261], [0.915, 0.831, 0.739]]
}


{
  "formula": "AlSiS3",
  "functional": "PBE",
  "state": "optimized geometry",
  "rho_kg_m3": 2736,
  "volume_a3_per_atom": 18.4,
  "raw_formation_energy_ev_per_atom": 0.12,
  "sg": "No. 221",
  "lattice_angstrom": [[4.511, 0.000, 0.000], [0.000, 4.511, 0.000], [0.000, 0.000, 4.511]],
  "species": ["S", "S", "S", "Si", "Al"],
  "frac_coords": [[0.000, 0.500, 0.000], [0.500, 0.000, 0.000], [0.000, 0.000, 0.500], [0.000, 0.000, 0.000], [0.500, 0.500, 0.500]]
}


{
  "formula": "AlSi2S6",
  "functional": "PBE",
  "state": "optimized geometry",
  "rho_kg_m3": 2479,
  "volume_a3_per_atom": 20.5,
  "raw_formation_energy_ev_per_atom": -0.53,
  "sg": "No. 15",
  "lattice_angstrom": [[6.213, -0.198, -0.192], [1.545, 7.669, 0.131], [1.545, 0.379, 7.661]],
  "species": ["S", "S", "S", "S", "S", "S", "S", "S", "S", "S", "S", "S", "Si", "Si", "Si", "Si", "Al", "Al"],
  "frac_coords": [[0.375, 0.716, 0.555], [0.875, 0.555, 0.716], [0.355, 0.389, 0.883], [0.645, 0.611, 0.117], [0.877, 0.187, 0.026], [0.855, 0.883, 0.389], [0.123, 0.813, 0.974], [0.125, 0.445, 0.284], [0.623, 0.974, 0.813], [0.145, 0.117, 0.611], [0.625, 0.284, 0.445], [0.377, 0.026, 0.187], [0.829, 0.377, 0.212], [0.171, 0.623, 0.788], [0.329, 0.212, 0.377], [0.671, 0.788, 0.623], [0.250, 0.108, 0.892], [0.750, 0.892, 0.108]]
}


{
  "formula": "Al2SiS4",
  "functional": "PBE",
  "state": "optimized geometry",
  "rho_kg_m3": 2279,
  "volume_a3_per_atom": 21.9,
  "raw_formation_energy_ev_per_atom": -0.47,
  "sg": "No. 121",
  "lattice_angstrom": [[6.353, 0.000, 0.000], [0.000, 6.353, 0.000], [-3.177, -3.177, 3.796]],
  "species": ["S", "S", "S", "S", "Al", "Al", "Si"],
  "frac_coords": [[0.420, 0.845, 0.265], [0.580, 0.580, 0.735], [0.845, 0.420, 0.265], [0.155, 0.155, 0.735], [0.250, 0.750, 0.500], [0.750, 0.250, 0.500], [0.500, 0.500, 0.000]]
}


{
  "formula": "AlSi2S2",
  "functional": "PBE",
  "state": "optimized geometry",
  "rho_kg_m3": 2876,
  "volume_a3_per_atom": 17.0,
  "raw_formation_energy_ev_per_atom": 0.19,
  "sg": "No. 139",
  "relative_energy_mev_per_atom": 0.0,
  "lattice_angstrom": [[-0.486, -1.695, -2.863], [-2.121, -2.071, 1.586], [-7.039, 2.670, -2.361]],
  "species": ["Al", "S", "S", "Si", "Si"],
  "frac_coords": [[0.000, 0.000, 0.000], [0.596, 0.596, 0.809], [0.404, 0.404, 0.191], [0.750, 0.250, 0.500], [0.250, 0.750, 0.500]]
}


{
  "formula": "Al2Si2S7",
  "functional": "PBE",
  "state": "optimized geometry",
  "rho_kg_m3": 2310,
  "volume_a3_per_atom": 21.9,
  "raw_formation_energy_ev_per_atom": -0.57,
  "sg": "No. 12",
  "lattice_angstrom": [[6.012, -0.421, -0.549], [-1.584, 6.458, 0.518], [-1.584, -1.174, 6.372]],
  "species": ["S", "S", "S", "S", "S", "S", "S", "Al", "Al", "Si", "Si"],
  "frac_coords": [[0.707, 0.399, 0.042], [0.293, 0.601, 0.958], [0.781, 0.572, 0.572], [0.293, 0.958, 0.601], [0.000, 0.000, 0.000], [0.219, 0.428, 0.428], [0.707, 0.042, 0.399], [0.500, 0.313, 0.687], [0.500, 0.687, 0.313], [0.110, 0.810, 0.810], [0.890, 0.190, 0.190]]
}


{
  "formula": "AlSiSn2S",
  "functional": "PBE",
  "state": "optimized geometry",
  "rho_kg_m3": 4084,
  "volume_a3_per_atom": 26.4,
  "raw_formation_energy_ev_per_atom": 0.63,
  "sg": "No. 123",
  "lattice_angstrom": [[5.373, 0.000, 0.000], [0.000, 4.571, 0.000], [0.000, 0.000, 5.373]],
  "species": ["Sn", "Sn", "Si", "S", "Al"],
  "frac_coords": [[0.000, 0.000, 0.500], [0.500, 0.000, 0.000], [0.000, 0.500, 0.000], [0.500, 0.500, 0.500], [0.000, 0.000, 0.000]]
}


{
  "formula": "AlTlSi2S6",
  "functional": "PBE",
  "state": "optimized geometry",
  "rho_kg_m3": 3092,
  "volume_a3_per_atom": 25.8,
  "raw_formation_energy_ev_per_atom": -0.57,
  "sg": "No. 15",
  "lattice_angstrom": [[6.498, 0.029, 0.030], [2.115, 8.962, -0.596], [2.115, -0.927, 8.933]],
  "species": ["S", "S", "S", "S", "S", "S", "S", "S", "S", "S", "S", "S", "Si", "Si", "Si", "Si", "Al", "Al", "Tl", "Tl"],
  "frac_coords": [[0.554, 0.594, 0.693], [0.077, 0.606, 0.184], [0.054, 0.693, 0.594], [0.251, 0.216, 0.028], [0.923, 0.394, 0.816], [0.946, 0.307, 0.406], [0.423, 0.816, 0.394], [0.446, 0.406, 0.307], [0.749, 0.784, 0.972], [0.577, 0.184, 0.606], [0.751, 0.028, 0.216], [0.249, 0.972, 0.784], [0.656, 0.229, 0.380], [0.844, 0.620, 0.771], [0.156, 0.380, 0.229], [0.344, 0.771, 0.620], [0.250, 0.226, 0.774], [0.750, 0.774, 0.226], [0.250, 0.896, 0.104], [0.750, 0.104, 0.896]]
}


{
  "formula": "Al2TlSiS6",
  "functional": "PBE",
  "state": "optimized geometry",
  "rho_kg_m3": 2969,
  "volume_a3_per_atom": 26.8,
  "raw_formation_energy_ev_per_atom": -0.63,
  "sg": "No. 15",
  "lattice_angstrom": [[7.667, 0.364, 0.378], [2.944, 8.535, -0.355], [2.944, -0.671, 8.516]],
  "species": ["S", "S", "S", "S", "S", "S", "S", "S", "S", "S", "S", "S", "Al", "Al", "Al", "Al", "Tl", "Tl", "Si", "Si"],
  "frac_coords": [[0.811, 0.341, 0.413], [0.029, 0.631, 0.145], [0.798, 0.044, 0.185], [0.189, 0.659, 0.587], [0.311, 0.413, 0.341], [0.471, 0.855, 0.369], [0.298, 0.185, 0.044], [0.702, 0.815, 0.956], [0.971, 0.369, 0.855], [0.202, 0.956, 0.815], [0.689, 0.587, 0.659], [0.529, 0.145, 0.631], [0.071, 0.396, 0.242], [0.571, 0.242, 0.396], [0.929, 0.604, 0.758], [0.429, 0.758, 0.604], [0.250, 0.853, 0.147], [0.750, 0.147, 0.853], [0.250, 0.178, 0.822], [0.750, 0.822, 0.178]]
}


{
  "formula": "ZrAl2SiS",
  "functional": "PBE",
  "state": "optimized geometry",
  "rho_kg_m3": 2317,
  "volume_a3_per_atom": 29.4,
  "raw_formation_energy_ev_per_atom": 1.14,
  "sg": "No. 123",
  "lattice_angstrom": [[5.442, 0.000, 0.000], [0.000, 4.970, 0.000], [0.000, 0.000, 5.442]],
  "species": ["S", "Al", "Al", "Si", "Zr"],
  "frac_coords": [[0.500, 0.500, 0.500], [0.500, 0.000, 0.000], [0.000, 0.000, 0.500], [0.000, 0.500, 0.000], [0.000, 0.000, 0.000]]
}


{
  "formula": "Sm2AlS5",
  "functional": "PBE",
  "state": "optimized geometry",
  "rho_kg_m3": 3788,
  "volume_a3_per_atom": 26.7,
  "raw_formation_energy_ev_per_atom": -1.39,
  "sg": "No. 63",
  "lattice_angstrom": [[5.355, 0.000, 0.000], [-2.677, 6.733, 0.000], [0.000, 0.000, 11.866]],
  "species": ["S", "S", "S", "S", "S", "S", "S", "S", "S", "S", "Al", "Al", "Sm", "Sm", "Sm", "Sm"],
  "frac_coords": [[0.301, 0.602, 0.098], [0.716, 0.432, 0.250], [0.957, 0.915, 0.634], [0.284, 0.568, 0.750], [0.699, 0.398, 0.598], [0.957, 0.915, 0.866], [0.043, 0.085, 0.366], [0.043, 0.085, 0.134], [0.699, 0.398, 0.902], [0.301, 0.602, 0.402], [0.810, 0.621, 0.750], [0.190, 0.379, 0.250], [0.847, 0.695, 0.431], [0.153, 0.305, 0.931], [0.153, 0.305, 0.569], [0.847, 0.695, 0.069]]
}